(1)
Entry from Alexandria: a geometry-optimized KCoOs structure (GGA-PBE).

Computed properties:
theoretical density: 7.20 g/cm3
excess energy over the best structure of this formula in the dataset: 6.67 kJ/mol of atoms

Lattice parameters (Å, degrees): 2.6702 3.9952 12.4566 90.07 90.33 90.00
Closest atoms and distances in Å follow each position.
Sites, in units of the cell vectors:
K: 0.0099 0.2510 0.3213  2 K 2.67
K: 0.9900 0.7490 0.6787  2 K 2.67
Co: 0.0015 0.2503 0.0591  4 Co 2.48-2.67, 6 Os 2.51-2.57
Co: 0.9985 0.7497 0.9409  4 Co 2.48-2.67, 6 Os 2.51-2.57
Os: 0.4969 0.2495 0.8830  6 Co 2.51-2.57, 2 Os 2.67
Os: 0.5031 0.7505 0.1170  6 Co 2.51-2.57, 2 Os 2.67

(2)
Entry from Alexandria: a geometry-optimized KCoOs structure (GGA-PBE).

Computed properties:
theoretical density: 8.38 g/cm3
excess energy over the best structure of this formula in the dataset: 27.93 kJ/mol of atoms

Lattice parameters (Å, degrees): 2.8787 2.8787 13.7812 90.00 90.00 90.00
Closest atoms and distances in Å follow each position.
Sites, in units of the cell vectors:
K: 0.0000 0.0000 0.0000  4 K 2.88
K: 0.5000 0.5000 0.5000  4 K 2.88
Co: 0.0000 0.0000 0.7011  4 Os 2.39
Co: 0.5000 0.5000 0.2011  4 Os 2.39
Os: 0.0000 0.0000 0.2927  4 Co 2.39
Os: 0.5000 0.5000 0.7927  4 Co 2.39

(3)
Entry from Alexandria: a geometry-optimized KCoOs structure (GGA-PBE).

Computed properties:
theoretical density: 5.46 g/cm3
excess energy over the best structure of this formula in the dataset: 8.79 kJ/mol of atoms

Lattice parameters (Å, degrees): 4.2550 4.6234 9.3141 86.94 89.84 73.26
Closest atoms and distances in Å follow each position.
Sites, in units of the cell vectors:
K: 0.2322 0.2654 0.2994  3 Co 3.22-3.57, 3 Os 3.33-3.56
K: 0.7678 0.7346 0.7006  3 Co 3.22-3.57, 3 Os 3.33-3.56
Co: 0.3007 0.1709 0.9219  4 Os 2.33-2.48, 1 Co 2.39
Co: 0.6993 0.8291 0.0781  4 Os 2.33-2.48, 1 Co 2.39
Os: 0.2333 0.6955 0.9913  4 Co 2.33-2.48, 1 Os 2.46
Os: 0.7667 0.3045 0.0087  4 Co 2.33-2.48, 1 Os 2.46

Which value of theoretical density does entry 2 give? 8.38 g/cm3